Record 1
Entry from the Alexandria database: La2BeGe4Au3 after structural relaxation (PBE-GGA).

Computed properties:
Calculated formation energy: -0.530 eV/atom

Structure (POSCAR):
```
La2BeGe4Au3
1.0
4.329 0.000 0.000
0.000 4.329 0.000
0.000 0.000 11.016
La Be Ge Au
2 1 4 3
Direct
0.000 0.500 0.237
0.500 0.000 0.763
0.500 0.500 0.000
0.000 0.000 0.500
0.000 0.500 0.874
0.500 0.000 0.126
0.500 0.500 0.500
0.000 0.000 0.000
0.000 0.500 0.644
0.500 0.000 0.356
```



Record 2
Entry from the Alexandria database: Li2Be2GeAu5 after structural relaxation (PBE-GGA).

Computed properties:
Calculated formation energy: -0.264 eV/atom

Structure (POSCAR):
```
Li2Be2GeAu5
1.0
10.011 0.000 0.000
0.000 10.011 0.000
0.000 0.000 3.242
Li Be Ge Au
4 4 2 10
Direct
0.171 0.329 0.000
0.329 0.829 0.000
0.671 0.171 0.000
0.829 0.671 0.000
0.124 0.624 0.000
0.376 0.124 0.000
0.624 0.876 0.000
0.876 0.376 0.000
0.000 0.000 0.000
0.500 0.500 0.000
0.000 0.500 0.500
0.081 0.793 0.500
0.207 0.081 0.500
0.293 0.581 0.500
0.419 0.293 0.500
0.500 0.000 0.500
0.581 0.707 0.500
0.707 0.419 0.500
0.793 0.919 0.500
0.919 0.207 0.500
```



Record 3
Entry from the Alexandria database: Na2Be2GeAu5 after structural relaxation (PBE-GGA).

Computed properties:
Calculated formation energy: -0.234 eV/atom

Structure (POSCAR):
```
Na2Be2GeAu5
1.0
10.798 0.000 0.000
0.000 10.798 0.000
0.000 0.000 2.996
Na Be Ge Au
4 4 2 10
Direct
0.176 0.324 0.000
0.324 0.824 0.000
0.676 0.176 0.000
0.824 0.676 0.000
0.125 0.625 0.000
0.375 0.125 0.000
0.625 0.875 0.000
0.875 0.375 0.000
0.000 0.000 0.000
0.500 0.500 0.000
0.000 0.500 0.500
0.067 0.788 0.500
0.212 0.067 0.500
0.288 0.567 0.500
0.433 0.288 0.500
0.500 0.000 0.500
0.567 0.712 0.500
0.712 0.433 0.500
0.788 0.933 0.500
0.933 0.212 0.500
```



Record 4
Entry from the Alexandria database: Nd2Be4Ge3Au after structural relaxation (PBE-GGA).

Computed properties:
Calculated formation energy: -0.446 eV/atom

Structure (POSCAR):
```
Nd2Be4Ge3Au
1.0
4.052 0.000 0.000
0.000 4.052 0.000
0.000 0.000 9.956
Nd Be Ge Au
2 4 3 1
Direct
0.000 0.500 0.244
0.500 0.000 0.756
0.000 0.000 0.000
0.000 0.500 0.633
0.500 0.000 0.367
0.500 0.500 0.000
0.000 0.500 0.869
0.500 0.000 0.131
0.500 0.500 0.500
0.000 0.000 0.500
```



Q: The highest calculated formation energy belongs to which entry?
A: Na2Be2GeAu5



Q: Which value of calculated formation energy does entry 2 give?
A: -0.264 eV/atom



Q: Which of these has the highest calculated formation energy?
A: Na2Be2GeAu5



Q: Which of these has the lowest calculated formation energy?
A: La2BeGe4Au3